1.
Here is GdSBr after structural relaxation from Alexandria via LeMat-Bulk. Energies are from PBE.

Calculated values
D(E_F) ... 0.0 states/eV/f.u.
SG ... No. 156
Crystal system ... trigonal
Final energy ... -8.566 eV/atom
ΔE to the lowest computed polymorph ... 55 meV/atom

Cell: 4.1420 4.1420 6.7038 Å, 90.00 90.00 120.00°
With the nearest neighbours (Å) after each atom.
Atoms (fractional coordinates):
Gd: 0.0000 0.0000 0.0000  3 S 2.67
S: 0.6667 0.3333 0.1782  3 Gd 2.67
Br: 0.3333 0.6667 0.7278  3 Gd 3.01

---

2.
Here is Gd2SBr after structural relaxation from Alexandria via LeMat-Bulk. Energies are from PBE.

Calculated values
D(E_F) ... 3.2 states/eV/f.u.
SG ... No. 166
Crystal system ... trigonal
Final energy ... -10.056 eV/atom

Cell: 3.9087 3.9087 22.2047 Å, 90.00 90.00 120.00°
With the nearest neighbours (Å) after each atom.
Atoms (fractional coordinates):
Gd: 0.0000 0.0000 0.2341  3 S 2.71
Gd: 0.0000 0.0000 0.7659  3 S 2.71
Gd: 0.3333 0.6667 0.4326  3 S 2.71
Gd: 0.3333 0.6667 0.9008  3 S 2.71
Gd: 0.6667 0.3333 0.0992  3 S 2.71
Gd: 0.6667 0.3333 0.5674  3 S 2.71
S: 0.0000 0.0000 0.5000  6 Gd 2.71
S: 0.3333 0.6667 0.1667  6 Gd 2.71
S: 0.6667 0.3333 0.8333  6 Gd 2.71
Br: 0.0000 0.0000 0.0000  6 Gd 3.15
Br: 0.3333 0.6667 0.6667  6 Gd 3.15
Br: 0.6667 0.3333 0.3333  6 Gd 3.15

---

3.
Here is GdSBr after structural relaxation from Alexandria via LeMat-Bulk. Energies are from PBE.

Calculated values
SG ... No. 216
Crystal system ... cubic
Final energy ... -8.406 eV/atom
ΔE to the lowest computed polymorph ... 215 meV/atom

Cell: 6.8286 6.8286 6.8286 Å, 90.00 90.00 90.00°
With the nearest neighbours (Å) after each atom.
Atoms (fractional coordinates):
Gd: 0.0000 0.0000 0.0000  4 Br 2.96, 4 S 2.96
Gd: 0.0000 0.5000 0.5000  4 Br 2.96, 4 S 2.96
Gd: 0.5000 0.0000 0.5000  4 Br 2.96, 4 S 2.96
Gd: 0.5000 0.5000 0.0000  4 Br 2.96, 4 S 2.96
S: 0.2500 0.2500 0.2500  4 Gd 2.96
S: 0.2500 0.7500 0.7500  4 Gd 2.96
S: 0.7500 0.2500 0.7500  4 Gd 2.96
S: 0.7500 0.7500 0.2500  4 Gd 2.96
Br: 0.2500 0.2500 0.7500  4 Gd 2.96
Br: 0.2500 0.7500 0.2500  4 Gd 2.96
Br: 0.7500 0.2500 0.2500  4 Gd 2.96
Br: 0.7500 0.7500 0.7500  4 Gd 2.96

---

4.
Here is Gd3Si2S8Br after structural relaxation from Alexandria via LeMat-Bulk. Energies are from PBE.

Calculated values
SG ... No. 15
Crystal system ... monoclinic
Final energy ... -7.725 eV/atom

Cell: 8.7696 8.7696 10.8322 Å, 99.43 99.43 51.07°
With the nearest neighbours (Å) after each atom.
Atoms (fractional coordinates):
Gd: 0.1344 0.8656 0.7500  1 Br 2.85, 6 S 2.87-3.05
Gd: 0.1709 0.4234 0.3202  8 S 2.87-3.00
Gd: 0.4234 0.1709 0.8202  8 S 2.87-3.00
Gd: 0.5766 0.8291 0.1798  8 S 2.87-3.00
Gd: 0.8291 0.5766 0.6798  8 S 2.87-3.00
Gd: 0.8656 0.1344 0.2500  1 Br 2.85, 6 S 2.87-3.05
Si: 0.1190 0.1948 0.0224  4 S 2.12-2.13
Si: 0.1948 0.1190 0.5224  4 S 2.12-2.13
Si: 0.8052 0.8810 0.4776  4 S 2.12-2.13
Si: 0.8810 0.8052 0.9776  4 S 2.12-2.13
S: 0.0471 0.2404 0.8279  1 Si 2.13
S: 0.1014 0.7623 0.4695  1 Si 2.12
S: 0.1140 0.6013 0.8593  1 Si 2.13
S: 0.2184 0.3471 0.5882  1 Si 2.13
S: 0.2377 0.8986 0.0305  1 Si 2.12
S: 0.2404 0.0471 0.3279  1 Si 2.13
S: 0.3471 0.2184 0.0882  1 Si 2.13
S: 0.3987 0.8860 0.6407  1 Si 2.13
S: 0.6013 0.1140 0.3593  1 Si 2.13
S: 0.6529 0.7816 0.9118  1 Si 2.13
S: 0.7596 0.9529 0.6721  1 Si 2.13
S: 0.7623 0.1014 0.9695  1 Si 2.12
S: 0.7816 0.6529 0.4118  1 Si 2.13
S: 0.8860 0.3987 0.1407  1 Si 2.13
S: 0.8986 0.2377 0.5305  1 Si 2.12
S: 0.9529 0.7596 0.1721  1 Si 2.13
Br: 0.4884 0.5116 0.2500  1 Gd 2.85
Br: 0.5116 0.4884 0.7500  1 Gd 2.85

---

5.
Here is Gd2SbBr after structural relaxation from Alexandria via LeMat-Bulk. Energies are from PBE.

Calculated values
D(E_F) ... 8.0 states/eV/f.u.
SG ... No. 225
Crystal system ... cubic
Final energy ... -9.569 eV/atom
ΔE to the lowest computed polymorph ... 47 meV/atom

Cell: 7.5434 7.5434 7.5434 Å, 90.00 90.00 90.00°
With the nearest neighbours (Å) after each atom.
Atoms (fractional coordinates):
Gd: 0.2500 0.2500 0.2500  4 Sb 3.27, 4 Br 3.27
Gd: 0.2500 0.2500 0.7500  4 Sb 3.27, 4 Br 3.27
Gd: 0.2500 0.7500 0.2500  4 Sb 3.27, 4 Br 3.27
Gd: 0.2500 0.7500 0.7500  4 Sb 3.27, 4 Br 3.27
Gd: 0.7500 0.2500 0.2500  4 Sb 3.27, 4 Br 3.27
Gd: 0.7500 0.2500 0.7500  4 Sb 3.27, 4 Br 3.27
Gd: 0.7500 0.7500 0.2500  4 Sb 3.27, 4 Br 3.27
Gd: 0.7500 0.7500 0.7500  4 Sb 3.27, 4 Br 3.27
Sb: 0.0000 0.0000 0.0000  8 Gd 3.27
Sb: 0.0000 0.5000 0.5000  8 Gd 3.27
Sb: 0.5000 0.0000 0.5000  8 Gd 3.27
Sb: 0.5000 0.5000 0.0000  8 Gd 3.27
Br: 0.0000 0.0000 0.5000  8 Gd 3.27
Br: 0.0000 0.5000 0.0000  8 Gd 3.27
Br: 0.5000 0.0000 0.0000  8 Gd 3.27
Br: 0.5000 0.5000 0.5000  8 Gd 3.27

---

6.
Here is Gd2SbBr after structural relaxation from Alexandria via LeMat-Bulk. Energies are from PBE.

Calculated values
D(E_F) ... 5.5 states/eV/f.u.
SG ... No. 166
Crystal system ... trigonal
Final energy ... -9.615 eV/atom
ΔE to the lowest computed polymorph ... 0 meV/atom

Cell: 4.4319 4.4319 20.2778 Å, 90.00 90.00 120.00°
With the nearest neighbours (Å) after each atom.
Atoms (fractional coordinates):
Gd: 0.0000 0.0000 0.2493  3 Sb 3.06, 3 Br 3.07
Gd: 0.0000 0.0000 0.7507  3 Sb 3.06, 3 Br 3.07
Gd: 0.3333 0.6667 0.4173  3 Sb 3.06, 3 Br 3.07
Gd: 0.3333 0.6667 0.9160  3 Sb 3.06, 3 Br 3.07
Gd: 0.6667 0.3333 0.0840  3 Sb 3.06, 3 Br 3.07
Gd: 0.6667 0.3333 0.5827  3 Sb 3.06, 3 Br 3.07
Sb: 0.0000 0.0000 0.5000  6 Gd 3.06
Sb: 0.3333 0.6667 0.1667  6 Gd 3.06
Sb: 0.6667 0.3333 0.8333  6 Gd 3.06
Br: 0.0000 0.0000 0.0000  6 Gd 3.07
Br: 0.3333 0.6667 0.6667  6 Gd 3.07
Br: 0.6667 0.3333 0.3333  6 Gd 3.07

---

7.
Here is SmGdSbBr after structural relaxation from Alexandria via LeMat-Bulk. Energies are from PBE.

Calculated values
D(E_F) ... 4.9 states/eV/f.u.
SG ... No. 216
Crystal system ... cubic
Final energy ... -7.220 eV/atom

Cell: 7.5587 7.5587 7.5587 Å, 90.00 90.00 90.00°
With the nearest neighbours (Å) after each atom.
Atoms (fractional coordinates):
Sm: 0.0000 0.0000 0.0000  4 Sb 3.27, 4 Br 3.27
Sm: 0.0000 0.5000 0.5000  4 Sb 3.27, 4 Br 3.27
Sm: 0.5000 0.0000 0.5000  4 Sb 3.27, 4 Br 3.27
Sm: 0.5000 0.5000 0.0000  4 Sb 3.27, 4 Br 3.27
Gd: 0.0000 0.0000 0.5000  4 Sb 3.27, 4 Br 3.27
Gd: 0.0000 0.5000 0.0000  4 Sb 3.27, 4 Br 3.27
Gd: 0.5000 0.0000 0.0000  4 Sb 3.27, 4 Br 3.27
Gd: 0.5000 0.5000 0.5000  4 Sb 3.27, 4 Br 3.27
Sb: 0.2500 0.2500 0.2500  4 Gd 3.27, 4 Sm 3.27
Sb: 0.2500 0.7500 0.7500  4 Gd 3.27, 4 Sm 3.27
Sb: 0.7500 0.2500 0.7500  4 Gd 3.27, 4 Sm 3.27
Sb: 0.7500 0.7500 0.2500  4 Gd 3.27, 4 Sm 3.27
Br: 0.2500 0.2500 0.7500  4 Sm 3.27, 4 Gd 3.27
Br: 0.2500 0.7500 0.2500  4 Sm 3.27, 4 Gd 3.27
Br: 0.7500 0.2500 0.2500  4 Sm 3.27, 4 Gd 3.27
Br: 0.7500 0.7500 0.7500  4 Sm 3.27, 4 Gd 3.27

---

8.
Here is GdSc2Br after structural relaxation from Alexandria via LeMat-Bulk. Energies are from PBE.

Calculated values
D(E_F) ... 4.7 states/eV/f.u.
SG ... No. 166
Crystal system ... trigonal
Final energy ... -7.530 eV/atom

Cell: 3.4827 3.4827 28.9144 Å, 90.00 90.00 120.00°
With the nearest neighbours (Å) after each atom.
Atoms (fractional coordinates):
Gd: 0.0000 0.0000 0.0000  6 Sc 3.33, 6 Gd 3.48
Gd: 0.3333 0.6667 0.6667  6 Sc 3.33, 6 Gd 3.48
Gd: 0.6667 0.3333 0.3333  6 Sc 3.33, 6 Gd 3.48
Sc: 0.0000 0.0000 0.2414  3 Br 2.95
Sc: 0.0000 0.0000 0.7586  3 Br 2.95
Sc: 0.3333 0.6667 0.4252  3 Br 2.95
Sc: 0.3333 0.6667 0.9081  3 Br 2.95
Sc: 0.6667 0.3333 0.0919  3 Br 2.95
Sc: 0.6667 0.3333 0.5748  3 Br 2.95
Br: 0.0000 0.0000 0.5000  6 Sc 2.95
Br: 0.3333 0.6667 0.1667  6 Sc 2.95
Br: 0.6667 0.3333 0.8333  6 Sc 2.95